No. 1
VASP calculation (PBE-GGA) on a relaxed structure of SnBiPtN2.

Output
Space group: P4/mmm

POSCAR file:
```
SnBiPtN2
1.0
4.282 0.000 0.000
0.000 5.530 0.000
0.000 0.000 4.282
Pt Sn N Bi
1 1 2 1
direct
0.000 0.500 0.000
0.500 0.500 0.500
0.500 0.000 0.000
0.000 0.000 0.500
0.000 0.000 0.000
```

No. 2
VASP calculation (PBE-GGA) on a relaxed structure of Sr2BiPtN.

Output
Space group: P4/mmm

POSCAR file:
```
Sr2BiPtN
1.0
5.814 0.000 0.000
0.000 5.814 0.000
0.000 0.000 3.810
N Pt Sr Bi
1 1 2 1
direct
0.000 0.000 0.000
0.000 0.000 0.500
0.500 0.000 0.000
0.000 0.500 0.000
0.500 0.500 0.500
```

No. 3
VASP calculation (PBE-GGA) on a relaxed structure of BiTe2PtN.

Output
Space group: P4/mmm

POSCAR file:
```
BiTe2PtN
1.0
-1.952 2.508 -4.911
4.528 -2.245 -2.946
-2.229 -3.389 -0.844
Pt N Te Bi
1 1 2 1
direct
0.500 0.500 0.500
0.000 0.000 0.500
0.000 0.500 0.000
0.500 0.000 0.000
0.000 0.000 0.000
```

No. 4
VASP calculation (PBE-GGA) on a relaxed structure of BiTe2PtN.

Output
Space group: P4/mmm

POSCAR file:
```
BiTe2PtN
1.0
-4.625 3.262 -0.467
-3.284 -4.494 1.130
0.185 0.787 3.666
Bi Te N Pt
1 2 1 1
direct
0.500 0.500 0.500
0.500 0.000 0.000
0.000 0.500 0.000
0.000 0.000 0.500
0.000 0.000 0.000
```

no.,spin magnetization (Bohr magnetons per cell),formation energy from raw total energies (eV per atom),energy (eV per atom)
1,1.10,1.437,-4.678
2,0.00,-0.695,-5.017
3,0.81,1.502,-3.404
4,0.00,0.365,-4.541